[1]
{"formula": "Li4Mg2Hg5", "functional": "PBE", "state": "optimized geometry", "e_form_mev_per_atom": -294, "space_group": "Pbam", "lattice_angstrom": [[3.318, 0.000, 0.000], [0.000, 7.420, 0.000], [0.000, 0.000, 17.789]], "species": ["Li", "Li", "Li", "Li", "Li", "Li", "Li", "Li", "Mg", "Mg", "Mg", "Mg", "Hg", "Hg", "Hg", "Hg", "Hg", "Hg", "Hg", "Hg", "Hg", "Hg"], "frac_coords": [[0.500, 0.601, 0.125], [0.500, 0.793, 0.952], [0.500, 0.293, 0.548], [0.500, 0.399, 0.875], [0.500, 0.207, 0.048], [0.500, 0.101, 0.375], [0.500, 0.899, 0.625], [0.500, 0.707, 0.452], [0.500, 0.520, 0.710], [0.500, 0.480, 0.290], [0.500, 0.980, 0.210], [0.500, 0.020, 0.790], [0.000, 0.697, 0.825], [0.000, 0.000, 0.500], [0.000, 0.102, 0.924], [0.000, 0.398, 0.424], [0.000, 0.602, 0.576], [0.000, 0.197, 0.675], [0.000, 0.898, 0.076], [0.000, 0.303, 0.175], [0.000, 0.803, 0.325], [0.000, 0.500, 0.000]]}

=====

[2]
{"formula": "MgI3F", "functional": "PBE", "state": "optimized geometry", "space_group": "Pm-3m", "raw_formation_energy_mev_per_atom": -35, "relative_energy_ev_per_fu": 1.48, "lattice_angstrom": [[5.343, 0.000, 0.000], [0.000, 5.343, 0.000], [0.000, 0.000, 5.343]], "species": ["I", "I", "I", "Mg", "F"], "frac_coords": [[0.500, 0.000, 0.000], [0.000, 0.000, 0.500], [0.000, 0.500, 0.000], [0.500, 0.500, 0.500], [0.000, 0.000, 0.000]]}

=====

[3]
{"formula": "Al3Sb", "functional": "PBE", "state": "optimized geometry", "space_group": "P4/mmm", "raw_formation_energy_mev_per_atom": 169, "lattice_angstrom": [[-0.425, 0.999, -2.921], [-2.733, -1.492, -0.114], [-3.762, 6.674, 2.831]], "species": ["Al", "Al", "Al", "Sb"], "frac_coords": [[0.000, 0.000, 0.964], [0.500, 0.500, 0.750], [0.000, 0.000, 0.536], [0.500, 0.500, 0.250]]}

=====

[4]
{"formula": "HoTmSc2P4", "functional": "PBE", "state": "optimized geometry", "e_form_mev_per_atom": -1539, "space_group": "P2/m", "lattice_angstrom": [[-1.531, -0.812, -3.458], [-4.107, -4.429, 2.859], [-5.681, 3.053, 1.798]], "species": ["Tm", "Ho", "P", "P", "P", "P", "Sc", "Sc"], "frac_coords": [[0.000, 0.500, 0.500], [0.500, 0.500, 0.000], [0.500, 0.238, 0.753], [0.500, 0.762, 0.247], [0.000, 0.763, 0.744], [0.000, 0.237, 0.256], [0.000, 0.000, 0.000], [0.500, 0.000, 0.500]]}

=====

| no. | total magnetization (μB per formula unit) |
| --- | --- |
| 1 | 0.00 |
| 2 | 0.00 |
| 3 | 0.00 |
| 4 | 0.00 |